The following is a PBE calculation of a relaxed structure of CeZr2Ir, from Alexandria.

Calculated values
E_form = -0.007 eV per atom
Total DFT energy (no corrections) = -31.9 eV/cell
V = 85 Å³/f.u.
Polymorph energy (0 for the lowest one) = 0.400 eV/atom

Cell lengths 3.062, 3.062, 10.656 Å; angles 81.74, 81.74, 60.00 degrees
Sites, in units of the cell vectors:
Zr  0.904  0.904  0.289
Ir  0.500  0.500  0.500
Zr  0.096  0.096  0.711
Ce  0.000  0.000  0.000